# 1
Computed, not measured: a relaxed structure of Pm2NdMg at the GGA-PBE level of DFT.

Structure (extended XYZ):
```
4
Lattice="-5.449 -1.203 -0.880 -1.754 -5.370 0.067 -3.203 -1.873 4.260" Properties=species:S:1:pos:R:3 pbc="T T T"
Mg 0.000 0.000 0.000
Nd -5.203 -4.223 1.723
Pm -2.602 -2.112 0.862
Pm -7.805 -6.335 2.585
```

Computed properties:
Formation energy from the elements = 0.058 eV/atom
Total magnetization = 0.0002 μB per atom
Space group = Fm-3m
Theoretical density = 5.97 g/cm3
Relative energy among the computed polymorphs = 0.098 eV/atom

=====

# 2
Computed, not measured: a relaxed structure of KBCl at the GGA-PBE level of DFT.

Structure (extended XYZ):
```
12
Lattice="-4.026 -7.321 -2.045 5.053 1.364 3.260 -4.698 0.622 7.022" Properties=species:S:1:pos:R:3 pbc="T T T"
B -3.988 -3.701 3.013
B 0.430 -5.575 1.025
B 0.317 -1.633 5.224
B -4.101 0.241 7.212
K -1.625 -2.095 1.654
K -0.034 0.421 7.606
K -2.046 -3.240 6.583
K -3.638 -5.755 0.631
Cl -2.591 -4.652 3.665
Cl -5.328 -4.048 6.890
Cl -1.080 -0.683 4.572
Cl 1.657 -1.287 1.347
```

Computed properties:
Total magnetization = 0.0000 μB per atom
Space group = Cmce
Formation energy from raw total energies = -0.3282 eV per atom
Theoretical density = 1.76 g/cm3

=====

# 3
Computed, not measured: a relaxed structure of SrSnAs2Se8 at the GGA-PBE level of DFT.

Structure (extended XYZ):
```
12
Lattice="6.610 0.000 0.000 -3.305 5.725 0.000 0.000 0.000 9.402" Properties=species:S:1:pos:R:3 pbc="T T T"
Sr 0.000 0.000 0.000
Sn 0.000 0.000 4.701
As 3.305 1.908 2.244
As 0.000 3.816 7.158
Se 0.000 3.816 0.054
Se 0.957 1.702 2.776
Se 1.352 5.702 2.776
Se 3.305 1.908 9.348
Se 1.953 0.022 6.626
Se 2.348 4.022 6.626
Se 5.614 1.680 6.626
Se -2.309 4.045 2.776
```

Computed properties:
Total magnetization = 0.0000 μB per atom
Space group = P-3
Formation energy from raw total energies = -0.3215 eV per atom
Theoretical density = 4.61 g/cm3

=====

# 4
Computed, not measured: a relaxed structure of CrHgAsI6 at the GGA-PBE level of DFT.

Structure (extended XYZ):
```
9
Lattice="-2.308 -6.678 1.296 2.633 -3.692 5.570 -6.826 3.426 5.499" Properties=species:S:1:pos:R:3 pbc="T T T"
Cr -3.196 -5.200 7.327
Hg 0.326 -10.370 6.866
As -3.304 -1.743 5.038
I -3.547 -6.808 5.132
I -2.838 -3.791 9.654
I -5.108 -3.380 6.579
I -5.151 -6.666 8.574
I -1.387 -3.720 5.890
I -1.143 -6.833 8.132
```

Computed properties:
Total magnetization = 0.3309 μB per atom
Space group = P312
Formation energy from raw total energies = -0.2463 eV per atom
Theoretical density = 4.30 g/cm3

=====

# 5
Computed, not measured: a relaxed structure of Zn4Cd at the GGA-PBE level of DFT.

Structure (extended XYZ):
```
5
Lattice="6.366 0.000 0.000 0.000 6.366 0.000 3.183 3.183 2.073" Properties=species:S:1:pos:R:3 pbc="T T T"
Cd 0.000 0.000 0.000
Zn 5.139 3.756 0.000
Zn 1.227 2.610 0.000
Zn 3.756 1.227 0.000
Zn 2.610 5.139 0.000
```

Computed properties:
Formation energy from the elements = 0.068 eV/atom
Total magnetization = 0.0000 μB per atom
Space group = I4/m
Theoretical density = 7.39 g/cm3
Relative energy among the computed polymorphs = 0.000 eV/atom

=====

# 6
Computed, not measured: a relaxed structure of YTl at the GGA-PBE level of DFT.

Structure (extended XYZ):
```
8
Lattice="5.090 0.000 0.000 0.000 6.430 0.000 0.000 0.000 6.843" Properties=species:S:1:pos:R:3 pbc="T T T"
Tl 3.818 5.564 0.673
Tl 1.273 2.349 2.748
Tl 3.818 4.081 4.095
Tl 1.273 0.866 6.170
Y 3.818 2.339 0.936
Y 1.273 5.554 2.485
Y 3.818 0.876 4.358
Y 1.273 4.091 5.907
```

Computed properties:
Formation energy from the elements = -0.355 eV/atom
Total magnetization = 0.0000 μB per atom
Space group = Pnma
Theoretical density = 8.70 g/cm3

=====

# 7
Computed, not measured: a relaxed structure of Al5Ga at the GGA-PBE level of DFT.

Structure (extended XYZ):
```
6
Lattice="2.874 0.000 0.000 -1.437 2.489 0.000 0.000 0.000 14.158" Properties=species:S:1:pos:R:3 pbc="T T T"
Al 1.437 0.830 11.746
Al 0.000 0.000 9.409
Al 1.437 0.830 7.079
Al 0.000 0.000 4.749
Al 1.437 0.830 2.411
Ga 0.000 0.000 0.000
```

Computed properties:
Formation energy from the elements = 0.030 eV/atom
Total magnetization = 0.0000 μB per atom
Space group = P-6m2
Theoretical density = 3.36 g/cm3
Relative energy among the computed polymorphs = 0.022 eV/atom

=====

# 8
Computed, not measured: a relaxed structure of CePmPt10 at the GGA-PBE level of DFT.

Structure (extended XYZ):
```
12
Lattice="-0.089 4.451 -0.005 -5.296 -0.107 -1.094 -1.888 -0.027 9.145" Properties=species:S:1:pos:R:3 pbc="T T T"
Ce -3.592 -0.067 4.026
Pm 0.000 0.000 0.000
Pt -0.631 -0.009 3.057
Pt -4.218 -0.076 7.057
Pt -2.966 -0.058 0.995
Pt -1.257 -0.018 6.088
Pt -0.988 2.212 4.570
Pt -2.693 2.172 -0.549
Pt -1.841 2.192 2.011
Pt -5.432 2.125 6.035
Pt -4.488 2.139 1.464
Pt -2.785 2.179 6.582
```

Computed properties:
Formation energy from the elements = -0.719 eV/atom
Total magnetization = 0.0374 μB per atom
Space group = Pmmm
Theoretical density = 16.51 g/cm3